Here is an optimized crystal structure of MnPb2F2 from Alexandria. Energies are from PBE+U.

Unit cell a=5.735 b=5.735 c=5.326 alpha=57.43 beta=57.43 gamma=90.00
Each line ends with the local moment (μB).
Atoms (fractional coordinates):
Pb1 0.750 0.250 0.500  -0.01
Pb2 0.250 0.750 0.500  -0.01
Mn1 0.000 0.000 0.000  4.54
F1 0.292 0.292 0.416  0.04
F2 0.708 0.708 0.584  0.04

Computed properties:
* excess energy over the best structure of this formula in the dataset: 0.0000 eV/atom
* crystal system: tetragonal
* N(E_F): 2.28 states/eV/cell